## ZrNbCuSb (PBE)

Data for crystalline ZrNbCuSb at its relaxed geometry.

abc: 6.694 6.694 6.694
angles: 90.00 90.00 90.00
Atoms (fractional coordinates):
Zr (0.000, 0.000, 0.000)
Zr (0.000, 0.500, 0.500)
Zr (0.500, 0.000, 0.500)
Zr (0.500, 0.500, 0.000)
Nb (0.250, 0.250, 0.250)
Nb (0.250, 0.750, 0.750)
Nb (0.750, 0.250, 0.750)
Nb (0.750, 0.750, 0.250)
Cu (0.250, 0.250, 0.750)
Cu (0.250, 0.750, 0.250)
Cu (0.750, 0.250, 0.250)
Cu (0.750, 0.750, 0.750)
Sb (0.000, 0.000, 0.500)
Sb (0.000, 0.500, 0.000)
Sb (0.500, 0.000, 0.000)
Sb (0.500, 0.500, 0.500)

Results
Relative energy among the computed polymorphs = 0.000 eV per formula unit
Symmetry = F-43m